# K2CoTe (GGA-PBE, optimized geometry)
data_K2CoTe
_chemical_formula_sum 'K8 Co4 Te4'
_cell_length_a 12.590
_cell_length_b 12.590
_cell_length_c 4.764
_cell_angle_alpha 90.00
_cell_angle_beta 90.00
_cell_angle_gamma 90.00
_space_group_name_H-M_alt 'I -4 2 d'
_space_group_IT_number 122
_space_group_name_Hall 'I -4 2bw'
loop_
_atom_site_label
_atom_site_fract_x
_atom_site_fract_y
_atom_site_fract_z
K1 0.004 0.250 0.125
Co1 0.000 0.000 0.000
Te1 0.000 0.000 0.500
# N(E_F) = 19.87 states/eV/cell
# E_tot = -50.50 eV per cell
# ΔE_f (raw) = -0.05 eV/atom